No. 1
DFT (PBE) results for an optimized crystal structure of Tb3CdO.

E ... -26.39 eV/cell
E_form (uncorrected) ... -1325 meV per atom
Theoretical density ... 9.016 Mg/m³
DOS at the Fermi energy ... 0.489 states/eV per atom

Cell and atoms, written as POSCAR:
```
Tb3CdO
1.0
-1.936 3.033 3.196
-4.074 0.097 -2.560
-1.678 -3.735 2.529
Tb Cd O
3 1 1
Cartesian
-0.839 -1.867 1.264
-0.968 1.517 1.598
-2.037 0.049 -1.280
-3.844 -0.302 1.582
0.000 0.000 0.000
```

***

No. 2
DFT (PBE) results for an optimized crystal structure of LiLaAlRh.

Formation enthalpy at 0 K ... -448 meV/atom
E ... -19.73 eV/cell
Theoretical density ... 5.926 Mg/m³
DOS at the Fermi energy ... 1.076 states/eV per atom

Cell and atoms, written as POSCAR:
```
LiLaAlRh
1.0
-1.105 -4.199 -2.000
2.340 -3.959 1.307
-2.232 -3.358 2.569
Rh Li La Al
1 1 1 1
Cartesian
-0.498 -5.758 0.938
0.000 0.000 0.000
-0.748 -8.637 1.407
-0.249 -2.879 0.469
```

***

No. 3
DFT (PBE) results for an optimized crystal structure of CrTc2Pt.

Formation enthalpy at 0 K ... 38 meV/atom
E ... -36.24 eV/cell
Theoretical density ... 12.964 Mg/m³
DOS at the Fermi energy ... 0.740 states/eV per atom
Polymorph energy (0 for the lowest one) ... 0.542 eV/f.u.

Cell and atoms, written as POSCAR:
```
CrTc2Pt
1.0
-4.879 7.557 -0.290
-6.908 5.752 -0.436
-5.914 6.487 1.986
Tc Cr Pt
2 1 1
Cartesian
-8.951 10.010 0.637
-17.601 19.684 1.252
-4.425 4.949 0.315
-13.276 14.847 0.944
```

***

No. 4
DFT (PBE) results for an optimized crystal structure of TbBiPd4.

Formation enthalpy at 0 K ... -574 meV/atom
E ... -65.45 eV/cell
Theoretical density ... 11.609 Mg/m³
DOS at the Fermi energy ... 0.373 states/eV per atom
Polymorph energy (0 for the lowest one) ... 0.000 eV/f.u.

Cell and atoms, written as POSCAR:
```
TbBiPd4
1.0
5.036 0.000 0.228
0.000 8.952 0.000
0.140 0.000 5.043
Tb Pd Bi
2 8 2
Cartesian
0.000 0.000 0.000
2.518 4.476 0.114
0.071 7.437 2.522
2.589 5.991 2.636
2.521 7.453 0.114
2.587 2.961 2.634
5.173 2.976 5.270
5.105 1.515 2.748
2.655 1.499 5.156
0.003 5.975 0.000
0.070 4.476 2.521
2.588 0.000 2.635
```

***

No. 5
DFT (PBE) results for an optimized crystal structure of Nd5Zn2Sn.

Formation enthalpy at 0 K ... -349 meV/atom
E ... -66.36 eV/cell
Theoretical density ... 6.900 Mg/m³
DOS at the Fermi energy ... 1.267 states/eV per atom

Cell and atoms, written as POSCAR:
```
Nd5Zn2Sn
1.0
7.844 0.000 0.000
0.000 7.844 0.000
-3.922 -3.922 7.594
Nd Zn Sn
10 4 2
Cartesian
-2.649 1.273 5.326
-1.273 -2.649 5.326
0.000 0.000 0.000
5.195 6.571 2.267
1.273 5.195 2.267
3.922 3.922 0.000
2.649 -1.273 5.326
1.273 2.649 5.326
6.571 2.649 2.267
2.649 1.273 2.267
6.885 4.880 0.000
0.958 2.963 0.000
4.880 0.958 0.000
2.963 6.885 0.000
3.922 3.922 3.797
0.000 0.000 3.797
```

***

No. 6
DFT (PBE) results for an optimized crystal structure of RbSr2Tl.

Formation enthalpy at 0 K ... -87 meV/atom
E ... -7.05 eV/cell
Theoretical density ... 3.616 Mg/m³
DOS at the Fermi energy ... 0.770 states/eV per atom
Polymorph energy (0 for the lowest one) ... 0.297 eV/f.u.

Cell and atoms, written as POSCAR:
```
RbSr2Tl
1.0
4.424 0.005 -0.001
2.216 3.828 -0.001
2.212 1.277 12.620
Sr Rb Tl
2 1 1
Cartesian
2.215 1.279 2.272
2.210 1.276 10.348
4.426 2.556 6.305
4.426 2.556 0.002
```

***

No. 7
DFT (PBE) results for an optimized crystal structure of H2Os2S.

E ... -29.49 eV/cell
Theoretical density ... 14.424 Mg/m³
DOS at the Fermi energy ... 0.492 states/eV per atom
Polymorph energy (0 for the lowest one) ... 0.531 eV/f.u.

Cell and atoms, written as POSCAR:
```
H2Os2S
1.0
-3.687 1.011 -0.981
-1.196 -0.798 3.675
-1.864 3.003 2.164
H Os S
2 2 1
Cartesian
-2.277 0.934 1.581
-4.471 2.282 3.278
-2.751 1.156 3.593
-3.996 2.060 1.266
0.000 0.000 0.000
```

***

No. 8
DFT (PBE) results for an optimized crystal structure of Lu2MgCr.

Formation enthalpy at 0 K ... 100 meV/atom
E ... -19.86 eV/cell
Theoretical density ... 7.557 Mg/m³
DOS at the Fermi energy ... 0.713 states/eV per atom
Polymorph energy (0 for the lowest one) ... 0.000 eV/f.u.

Cell and atoms, written as POSCAR:
```
Lu2MgCr
1.0
3.427 0.000 0.000
0.000 3.427 0.000
0.000 0.000 7.975
Lu Mg Cr
2 1 1
Cartesian
0.000 0.000 6.270
0.000 0.000 1.705
1.713 1.713 3.988
1.713 1.713 0.000
```

***

No. 9
DFT (PBE) results for an optimized crystal structure of CaPdSe.

E ... -55.78 eV/cell
E_form (uncorrected) ... -1089 meV per atom
Theoretical density ... 5.277 Mg/m³
DOS at the Fermi energy ... 0.086 states/eV per atom
Polymorph energy (0 for the lowest one) ... 0.222 eV/f.u.

Cell and atoms, written as POSCAR:
```
CaPdSe
1.0
-1.566 -0.297 8.578
3.668 -1.726 0.610
3.244 7.193 0.841
Ca Se Pd
4 4 4
Cartesian
4.032 2.225 2.710
1.314 2.945 7.320
1.639 -1.493 6.581
3.706 6.663 3.448
2.604 5.117 5.706
3.095 4.620 1.342
2.250 0.550 8.688
2.742 0.053 4.323
-0.232 0.093 8.548
1.440 2.214 4.490
5.578 5.077 1.481
3.905 2.956 5.540
```

***

No. 10
DFT (PBE) results for an optimized crystal structure of EuGdHo.

Formation enthalpy at 0 K ... 64 meV/atom
E ... -28.74 eV/cell
Theoretical density ... 7.678 Mg/m³
DOS at the Fermi energy ... 1.488 states/eV per atom
Polymorph energy (0 for the lowest one) ... 0.043 eV/f.u.

Cell and atoms, written as POSCAR:
```
EuGdHo
1.0
3.633 0.000 0.000
-1.817 3.147 0.000
0.000 0.000 8.969
Eu Ho Gd
1 1 1
Cartesian
0.000 0.000 8.954
0.000 2.098 5.882
1.817 1.049 3.102
```

***

No. 11
DFT (PBE) results for an optimized crystal structure of ZrU2H8.

E ... -61.39 eV/cell
Theoretical density ... 9.715 Mg/m³
DOS at the Fermi energy ... 0.564 states/eV per atom

Cell and atoms, written as POSCAR:
```
ZrU2H8
1.0
3.562 0.000 -1.084
-0.678 3.923 -2.228
0.007 0.994 6.418
H U Zr
8 2 1
Cartesian
0.844 3.100 2.772
1.196 1.060 3.931
2.281 3.671 1.099
2.048 1.817 0.334
-0.163 0.946 -0.537
1.695 3.857 -0.824
0.611 1.246 2.007
3.055 3.971 3.644
2.735 1.944 2.591
0.157 2.973 0.515
1.781 0.000 -0.542
```

***

No. 12
DFT (PBE) results for an optimized crystal structure of Hf4FeOs.

Formation enthalpy at 0 K ... -273 meV/atom
E ... -122.28 eV/cell
Theoretical density ... 14.500 Mg/m³
DOS at the Fermi energy ... 1.198 states/eV per atom

Cell and atoms, written as POSCAR:
```
Hf4FeOs
1.0
4.582 0.000 0.000
0.000 4.503 0.861
0.000 2.493 11.133
Hf Os Fe
8 2 2
Cartesian
0.000 1.943 1.975
2.291 4.195 2.415
4.582 5.053 10.019
0.000 3.807 4.442
2.291 1.556 4.022
2.291 2.801 9.578
2.291 5.440 7.971
4.582 3.189 7.551
2.291 2.252 0.430
0.000 1.246 5.566
2.291 3.498 5.997
0.000 0.000 0.000
```